The following is a GGA-PBE calculation of a geometry-optimized Er2ScMnS6 structure, from Alexandria via LeMat-Bulk.

Cell and atoms, written as CIF:
```
data_Er2ScMnS6
_cell_length_a 6.257
_cell_length_b 7.006
_cell_length_c 11.033
_cell_angle_alpha 90.00
_cell_angle_beta 123.97
_cell_angle_gamma 90.00
_space_group_name_H-M_alt 'P 1 21/c 1'
_space_group_IT_number 14
loop_
_space_group_symop_operation_xyz
'x,y,z'
'-x,-y,-z'
'-x,y+1/2,-z+1/2'
'x,-y+1/2,z+1/2'
loop_
_atom_site_label
_atom_site_fract_x
_atom_site_fract_y
_atom_site_fract_z
Er1 0.204 0.110 0.247
Sc1 0.500 0.000 0.000
Mn1 0.000 0.000 0.500
S1 0.102 0.179 0.931
S2 0.254 0.673 0.937
S3 0.381 0.040 0.738
```

## Properties
ΔE_f (raw) (eV/atom): -1.6189
Electronic total energy (eV for the cell shown): -131.160
M_tot (μB/cell): 8.000

The following is a GGA-PBE calculation of a geometry-optimized AlGe2PH structure, from Alexandria via LeMat-Bulk.

Cell and atoms, written as CIF:
```
data_AlGe2PH
_cell_length_a 5.047
_cell_length_b 5.047
_cell_length_c 3.129
_cell_angle_alpha 90.00
_cell_angle_beta 90.00
_cell_angle_gamma 90.00
_space_group_name_H-M_alt 'P 4/m m m'
_space_group_IT_number 123
_space_group_name_Hall '-P 4 2'
loop_
_atom_site_label
_atom_site_fract_x
_atom_site_fract_y
_atom_site_fract_z
Al1 0.000 0.000 0.000
Ge1 0.000 0.500 0.500
P1 0.500 0.500 0.500
H1 0.500 0.500 0.000
```

## Properties
Electronic total energy (eV for the cell shown): -20.246
M_tot (μB/cell): 0.000

The following is a GGA-PBE calculation of a geometry-optimized Sc2Cd3Hg structure, from Alexandria via LeMat-Bulk.

Cell and atoms, written as CIF:
```
data_Sc2Cd3Hg
_cell_length_a 6.421
_cell_length_b 9.739
_cell_length_c 16.820
_cell_angle_alpha 90.00
_cell_angle_beta 90.00
_cell_angle_gamma 90.00
_space_group_name_H-M_alt 'F m m m'
_space_group_IT_number 69
_space_group_name_Hall '-F 2 2'
loop_
_atom_site_label
_atom_site_fract_x
_atom_site_fract_y
_atom_site_fract_z
Sc1 0.248 0.000 0.000
Sc2 0.250 0.250 0.250
Cd1 0.000 0.000 0.334
Cd2 0.000 0.249 0.417
Hg1 0.000 0.000 0.167
```

## Properties
Electronic total energy (eV for the cell shown): -137.866
Energy relative to the lowest polymorph listed for this composition (eV per formula unit): 0.00
M_tot (μB/cell): 4.778
Energy of formation from the pure elements (eV/atom): -0.25

What did the third record say?
The following is a GGA-PBE calculation of a geometry-optimized Sc2Cd3Hg structure, from Alexandria via LeMat-Bulk.

Cell and atoms, written as CIF:
```
data_Sc2Cd3Hg
_cell_length_a 6.421
_cell_length_b 9.739
_cell_length_c 16.820
_cell_angle_alpha 90.00
_cell_angle_beta 90.00
_cell_angle_gamma 90.00
_space_group_name_H-M_alt 'F m m m'
_space_group_IT_number 69
_space_group_name_Hall '-F 2 2'
loop_
_atom_site_label
_atom_site_fract_x
_atom_site_fract_y
_atom_site_fract_z
Sc1 0.248 0.000 0.000
Sc2 0.250 0.250 0.250
Cd1 0.000 0.000 0.334
Cd2 0.000 0.249 0.417
Hg1 0.000 0.000 0.167
```

## Properties
Electronic total energy (eV for the cell shown): -137.866
Energy relative to the lowest polymorph listed for this composition (eV per formula unit): 0.00
M_tot (μB/cell): 4.778
Energy of formation from the pure elements (eV/atom): -0.25

What is the electronic total energy in the third record?
-137.866 eV for the cell shown

Please write out number 3 again, unchanged.
The following is a GGA-PBE calculation of a geometry-optimized Sc2Cd3Hg structure, from Alexandria via LeMat-Bulk.

Cell and atoms, written as CIF:
```
data_Sc2Cd3Hg
_cell_length_a 6.421
_cell_length_b 9.739
_cell_length_c 16.820
_cell_angle_alpha 90.00
_cell_angle_beta 90.00
_cell_angle_gamma 90.00
_space_group_name_H-M_alt 'F m m m'
_space_group_IT_number 69
_space_group_name_Hall '-F 2 2'
loop_
_atom_site_label
_atom_site_fract_x
_atom_site_fract_y
_atom_site_fract_z
Sc1 0.248 0.000 0.000
Sc2 0.250 0.250 0.250
Cd1 0.000 0.000 0.334
Cd2 0.000 0.249 0.417
Hg1 0.000 0.000 0.167
```

## Properties
Electronic total energy (eV for the cell shown): -137.866
Energy relative to the lowest polymorph listed for this composition (eV per formula unit): 0.00
M_tot (μB/cell): 4.778
Energy of formation from the pure elements (eV/atom): -0.25

Look up the electronic total energy of the second one.
-20.246 eV for the cell shown